[1]
Here is crystalline KMo3C at its relaxed geometry from Alexandria via LeMat-Bulk. Energies are from PBEsol.

Unit cell a=4.2692 b=4.2692 c=4.2692 alpha=90.00 beta=90.00 gamma=90.00
Fractional positions:
K (0.5000, 0.5000, 0.5000)
C (0.0000, 0.0000, 0.0000)
Mo (0.0000, 0.0000, 0.5000)
Mo (0.0000, 0.5000, 0.0000)
Mo (0.5000, 0.0000, 0.0000)

## Properties
formation energy: 1.172 eV/atom
space-group type: Pm-3m (221)
theoretical density: 7.23 g cm⁻³


[2]
Here is crystalline SiMoN2O at its relaxed geometry from Alexandria via LeMat-Bulk. Energies are from PBEsol.

Unit cell a=3.7983 b=3.9378 c=3.9378 alpha=90.00 beta=90.00 gamma=90.00
Fractional positions:
Si (0.5000, 0.5000, 0.5000)
O (0.5000, 0.0000, 0.0000)
Mo (0.0000, 0.0000, 0.0000)
N (0.0000, 0.0000, 0.5000)
N (0.0000, 0.5000, 0.0000)

## Properties
formation energy from raw total energies: -0.017 eV/atom
space-group type: P4/mmm (123)
theoretical density: 4.74 g cm⁻³


[3]
Here is crystalline BeH10N3F3 at its relaxed geometry from Alexandria via LeMat-Bulk. Energies are from PBEsol.

Unit cell a=6.5479 b=7.9636 c=10.5820 alpha=90.00 beta=90.00 gamma=90.00
Fractional positions:
F (0.7684, 0.4249, 0.3809)
H (0.7948, 0.3535, 0.0352)
H (0.2948, 0.1465, 0.9648)
H (0.1949, 0.3892, 0.5405)
F (0.9501, 0.0525, 0.4878)
H (0.5542, 0.7799, 0.6942)
N (0.9235, 0.6802, 0.2477)
H (0.3560, 0.9226, 0.7061)
F (0.9180, 0.1059, 0.7264)
H (0.0558, 0.8933, 0.9876)
N (0.4235, 0.8198, 0.7523)
H (0.0542, 0.7201, 0.3058)
Be (0.9540, 0.6415, 0.8944)
H (0.5399, 0.0688, 0.3430)
N (0.7489, 0.7368, 0.5990)
H (0.1440, 0.0774, 0.2061)
F (0.4180, 0.3941, 0.2736)
Be (0.4540, 0.8585, 0.1056)
H (0.5558, 0.6067, 0.0124)
F (0.2316, 0.9249, 0.1191)
H (0.3055, 0.6613, 0.4496)
N (0.5535, 0.1439, 0.4225)
H (0.6440, 0.4226, 0.7939)
H (0.6945, 0.1613, 0.0504)
H (0.3678, 0.8109, 0.3483)
F (0.0499, 0.5525, 0.0122)
F (0.7316, 0.5751, 0.8809)
H (0.8055, 0.8387, 0.5504)
H (0.8134, 0.7741, 0.2390)
H (0.1866, 0.2741, 0.2610)
H (0.2052, 0.8535, 0.4648)
H (0.3051, 0.6108, 0.0405)
H (0.8560, 0.5774, 0.2939)
N (0.2511, 0.2368, 0.9010)
H (0.0262, 0.1421, 0.3412)
F (0.5820, 0.8941, 0.2264)
H (0.3134, 0.7259, 0.7610)
Be (0.5460, 0.3585, 0.3944)
N (0.9465, 0.8561, 0.9225)
H (0.1945, 0.3387, 0.9496)
F (0.5499, 0.9475, 0.9878)
H (0.4442, 0.1067, 0.4876)
H (0.0399, 0.4312, 0.6570)
N (0.7511, 0.2632, 0.0990)
H (0.8678, 0.6891, 0.6517)
N (0.5765, 0.3198, 0.7477)
F (0.0820, 0.6059, 0.7736)
Be (0.0460, 0.1415, 0.6056)
N (0.4465, 0.6439, 0.0775)
H (0.6322, 0.3109, 0.1517)
H (0.9442, 0.3933, 0.5124)
N (0.2489, 0.7632, 0.4010)
H (0.4738, 0.8579, 0.8412)
H (0.4458, 0.2799, 0.8058)
H (0.1322, 0.1891, 0.8483)
H (0.6949, 0.1108, 0.4595)
H (0.9738, 0.6421, 0.1588)
H (0.8051, 0.8892, 0.9595)
N (0.0535, 0.3561, 0.5775)
N (0.0765, 0.1802, 0.2523)
H (0.6866, 0.2259, 0.7390)
H (0.9601, 0.9312, 0.8430)
H (0.5262, 0.3579, 0.6588)
F (0.4501, 0.4475, 0.5122)
H (0.7052, 0.6465, 0.5352)
H (0.9458, 0.2201, 0.1942)
H (0.4601, 0.5688, 0.1570)
F (0.2684, 0.0751, 0.6191)

## Properties
E: -5.164 eV/atom
space-group type: P2_12_12_1 (19)
theoretical density: 1.42 g cm⁻³


[4]
Here is crystalline InSi2Sb at its relaxed geometry from Alexandria via LeMat-Bulk. Energies are from PBEsol.

Unit cell a=3.6578 b=5.0683 c=5.0683 alpha=114.35 beta=90.00 gamma=90.00
Fractional positions:
Sb (0.5000, 0.2187, 0.7813)
Si (0.5000, 0.7822, 0.2178)
Si (0.0000, 0.9692, 0.0308)
In (0.0000, 0.5228, 0.4772)

## Properties
formation energy from raw total energies: 0.214 eV/atom
distance to the lowest polymorph of the same formula: 0.027 eV per atom
space-group type: Amm2 (38)
theoretical density: 5.68 g cm⁻³


[5]
Here is crystalline YSb2Ir2 at its relaxed geometry from Alexandria via LeMat-Bulk. Energies are from PBEsol.

Unit cell a=4.1414 b=4.1414 c=6.7454 alpha=107.88 beta=107.88 gamma=90.00
Fractional positions:
Ir (0.7500, 0.2500, 0.5000)
Sb (0.3793, 0.3793, 0.7585)
Sb (0.6207, 0.6207, 0.2415)
Ir (0.2500, 0.7500, 0.5000)
Y (0.0000, 0.0000, 0.0000)

## Properties
formation energy from raw total energies: -0.330 eV/atom
space-group type: I4/mmm (139)
theoretical density: 11.42 g cm⁻³


[6]
Here is crystalline MgAl2Ru at its relaxed geometry from Alexandria via LeMat-Bulk. Energies are from PBEsol.

Unit cell a=3.0322 b=4.3172 c=4.5627 alpha=90.00 beta=90.00 gamma=90.00
Fractional positions:
Ru (0.5000, 0.5000, 0.1861)
Al (0.0000, 0.0000, 0.0674)
Mg (0.5000, 0.0000, 0.5580)
Al (0.0000, 0.5000, 0.6885)

## Properties
formation energy: -0.200 eV/atom
space-group type: Pmm2 (25)
theoretical density: 4.99 g cm⁻³


[7]
Here is crystalline BaPb3F at its relaxed geometry from Alexandria via LeMat-Bulk. Energies are from PBEsol.

Unit cell a=6.2850 b=6.2850 c=6.2850 alpha=90.00 beta=90.00 gamma=90.00
Fractional positions:
Ba (0.0000, 0.0000, 0.0000)
Pb (0.0000, 0.0000, 0.5000)
Pb (0.5000, 0.0000, 0.0000)
F (0.5000, 0.5000, 0.5000)
Pb (0.0000, 0.5000, 0.0000)

## Properties
formation energy from raw total energies: 0.744 eV/atom
space-group type: Pm-3m (221)
theoretical density: 5.20 g cm⁻³


[8]
Here is crystalline AgSbRu2 at its relaxed geometry from Alexandria via LeMat-Bulk. Energies are from PBEsol.

Unit cell a=3.1463 b=3.1463 c=6.3613 alpha=90.00 beta=90.00 gamma=90.00
Fractional positions:
Sb (0.5000, 0.5000, 0.0000)
Ru (0.0000, 0.0000, 0.7696)
Ag (0.5000, 0.5000, 0.5000)
Ru (0.0000, 0.0000, 0.2304)

## Properties
formation energy from raw total energies: 0.325 eV/atom
space-group type: P4/mmm (123)
theoretical density: 11.39 g cm⁻³


Q: What is the formula in the sixth record?
A: MgAl2Ru